## LiCoP2 (meta-GGA SCAN)

Data for LiCoP2 at its PBEsol-relaxed geometry.

Computed properties:
**Mass density**: 4.6 g/cm3
**Energy**: -40.8 eV per cell
**Excess energy over the best structure of this formula in the dataset**: 173 meV/atom
**Formation energy**: -0.073 eV/atom

The structure in extended XYZ format:
```
4
Lattice="3.883 0.000 0.000 -1.942 3.607 0.004 0.000 2.087 3.275" Properties=species:S:1:pos:R:3 pbc="T T T"
P 1.942 3.369 2.458
Li 0.000 0.000 0.000
Co 1.942 1.044 1.637
P 0.000 2.325 0.821
```